A relaxed structure of LiCaSi2Rh. Source: Alexandria via LeMat-Bulk, functional GGA-PBEsol.

Calculated values
* magnetic moment: 0.00 μB/cell
* ΔE_f (raw): 0.508 eV/atom

abc: 4.271 4.271 4.545
angles: 90.00 90.00 90.00
Sites, in units of the cell vectors:
Li 0.000 0.000 0.000
Ca 0.000 0.000 0.500
Si 0.000 0.500 0.000
Si 0.500 0.000 0.000
Rh 0.500 0.500 0.500

A relaxed structure of ZnSbS3. Source: Alexandria via LeMat-Bulk, functional GGA-PBEsol.

Calculated values
* magnetic moment: 0.00 μB/cell
* ΔE_f (raw): 0.511 eV/atom

abc: 4.931 4.931 4.931
angles: 90.00 90.00 90.00
Sites, in units of the cell vectors:
Zn 0.000 0.000 0.000
Sb 0.500 0.500 0.500
S 0.000 0.500 0.500
S 0.500 0.000 0.500
S 0.500 0.500 0.000